Na3Ce2C4O12F at its PBEsol-relaxed geometry. Source: Alexandria, functional meta-GGA SCAN.

Lattice parameters (Å, degrees): 5.0605 5.0605 22.4879 90.00 90.00 120.00
Last column: nearest neighbours and their distance in Å.
Positions (direct):
1 Na 0.0000 0.0000 0.2500  6 O 2.36
2 Na 0.0000 0.0000 0.7500  6 O 2.36
3 Na 0.3333 0.6667 0.0248  9 O 2.54-2.67
4 Na 0.3333 0.6667 0.4752  9 O 2.54-2.67
5 Na 0.6667 0.3333 0.5248  9 O 2.54-2.67
6 Na 0.6667 0.3333 0.9752  9 O 2.54-2.67
7 Ce 0.3333 0.6667 0.6452  1 F 2.36, 9 O 2.48-2.62
8 Ce 0.3333 0.6667 0.8548  1 F 2.36, 9 O 2.48-2.62
9 Ce 0.6667 0.3333 0.1452  1 F 2.36, 9 O 2.48-2.62
10 Ce 0.6667 0.3333 0.3548  1 F 2.36, 9 O 2.48-2.62
11 C 0.0000 0.0000 0.0631  3 O 1.29
12 C 0.0000 0.0000 0.4369  3 O 1.29
13 C 0.0000 0.0000 0.5631  3 O 1.29
14 C 0.0000 0.0000 0.9369  3 O 1.29
15 C 0.3333 0.6667 0.1758  3 O 1.29
16 C 0.3333 0.6667 0.3242  3 O 1.29
17 C 0.6667 0.3333 0.6758  3 O 1.29
18 C 0.6667 0.3333 0.8242  3 O 1.29
19 O 0.1476 0.2953 0.5622  1 C 1.29
20 O 0.1476 0.2953 0.9378  1 C 1.29
21 O 0.1476 0.8524 0.5622  1 C 1.29
22 O 0.1476 0.8524 0.9378  1 C 1.29
23 O 0.1862 0.3723 0.1744  1 C 1.29
24 O 0.1862 0.3723 0.3256  1 C 1.29
25 O 0.1862 0.8138 0.1744  1 C 1.29
26 O 0.1862 0.8138 0.3256  1 C 1.29
27 O 0.2953 0.1476 0.0622  1 C 1.29
28 O 0.2953 0.1476 0.4378  1 C 1.29
29 O 0.3723 0.1862 0.6744  1 C 1.29
30 O 0.3723 0.1862 0.8256  1 C 1.29
31 O 0.6277 0.8138 0.1744  1 C 1.29
32 O 0.6277 0.8138 0.3256  1 C 1.29
33 O 0.7047 0.8524 0.5622  1 C 1.29
34 O 0.7047 0.8524 0.9378  1 C 1.29
35 O 0.8138 0.1862 0.6744  1 C 1.29
36 O 0.8138 0.1862 0.8256  1 C 1.29
37 O 0.8138 0.6277 0.6744  1 C 1.29
38 O 0.8138 0.6277 0.8256  1 C 1.29
39 O 0.8524 0.1476 0.0622  1 C 1.29
40 O 0.8524 0.1476 0.4378  1 C 1.29
41 O 0.8524 0.7047 0.0622  1 C 1.29
42 O 0.8524 0.7047 0.4378  1 C 1.29
43 F 0.3333 0.6667 0.7500  2 Ce 2.36
44 F 0.6667 0.3333 0.2500  2 Ce 2.36

- Formation energy without anion corrections: -2340 meV/atom
- Total DFT energy (no corrections): -12.36 eV per atom



ZrZn2 at its PBEsol-relaxed geometry. Source: Alexandria, functional meta-GGA SCAN.

Lattice parameters (Å, degrees): 5.9329 5.9329 5.9329 150.97 150.97 41.51
Last column: nearest neighbours and their distance in Å.
Positions (direct):
1 Zr 0.0000 0.0000 0.0000  8 Zn 2.90, 4 Zr 2.97
2 Zn 0.3202 0.3202 0.0000  4 Zn 2.62, 4 Zr 2.90
3 Zn 0.6798 0.6798 0.0000  4 Zn 2.62, 4 Zr 2.90

- Formation energy from the elements: -0.273 eV per atom
- Total DFT energy (no corrections): -19.52 eV per atom
- N(E_F): 2.2 states/eV per cell



AlSb2Te at its PBEsol-relaxed geometry. Source: Alexandria, functional meta-GGA SCAN.

Lattice parameters (Å, degrees): 6.3331 6.3331 6.3331 140.61 140.61 56.93
Last column: nearest neighbours and their distance in Å.
Positions (direct):
1 Al 0.0000 0.0000 0.0000  4 Te 3.02
2 Sb 0.2500 0.7500 0.5000  4 Sb 3.02
3 Sb 0.7500 0.2500 0.5000  4 Sb 3.02
4 Te 0.5000 0.5000 0.0000  4 Al 3.02

- Formation energy without anion corrections: 312 meV/atom
- Excess energy over the best structure of this formula in the dataset: 0.0985 eV/atom
- Total DFT energy (no corrections): -29.57 eV per atom
- N(E_F): 2.5 states/eV per cell



Tm3Ga5Ni at its PBEsol-relaxed geometry. Source: Alexandria, functional meta-GGA SCAN.

Lattice parameters (Å, degrees): 6.7147 6.7147 4.1245 90.00 90.00 120.00
Last column: nearest neighbours and their distance in Å.
Positions (direct):
1 Tm 0.0000 0.4060 0.0000  1 Ni 2.73, 4 Ga 2.90
2 Tm 0.4060 0.0000 0.0000  1 Ni 2.73, 4 Ga 2.90
3 Tm 0.5940 0.5940 0.0000  1 Ni 2.73, 4 Ga 2.90
4 Ga 0.0000 0.7642 0.5000  2 Ni 2.60, 4 Ga 2.63-2.74
5 Ga 0.2358 0.2358 0.5000  2 Ni 2.60, 4 Ga 2.63-2.74
6 Ga 0.3333 0.6667 0.5000  3 Ga 2.63, 6 Tm 2.90
7 Ga 0.6667 0.3333 0.5000  3 Ga 2.63, 6 Tm 2.90
8 Ga 0.7642 0.0000 0.5000  2 Ni 2.60, 4 Ga 2.63-2.74
9 Ni 0.0000 0.0000 0.0000  6 Ga 2.60, 3 Tm 2.73

- Formation energy from the elements: -0.780 eV per atom
- Total DFT energy (no corrections): -28.94 eV per atom
- N(E_F): 2.0 states/eV per cell



CuAgMo2 at its PBEsol-relaxed geometry. Source: Alexandria, functional meta-GGA SCAN.

Lattice parameters (Å, degrees): 3.3354 3.3354 5.3999 90.00 90.00 90.00
Last column: nearest neighbours and their distance in Å.
Positions (direct):
1 Cu 0.0000 0.0000 0.0000  8 Mo 2.62, 2 Ag 2.70
2 Ag 0.0000 0.0000 0.5000  2 Cu 2.70, 8 Mo 2.83
3 Mo 0.5000 0.5000 0.2095  1 Mo 2.26
4 Mo 0.5000 0.5000 0.7905  1 Mo 2.26

- Formation energy from the elements: 0.553 eV per atom
- Excess energy over the best structure of this formula in the dataset: 0.3028 eV/atom
- Total DFT energy (no corrections): -28.53 eV per atom
- N(E_F): 2.2 states/eV per cell



Sr2LiPt at its PBEsol-relaxed geometry. Source: Alexandria, functional meta-GGA SCAN.

Lattice parameters (Å, degrees): 6.0725 6.0725 6.0725 136.44 136.44 63.31
Last column: nearest neighbours and their distance in Å.
Positions (direct):
1 Sr 0.0000 0.0000 0.0000  4 Li 3.19, 4 Pt 3.43, 4 Sr 3.43
2 Sr 0.7500 0.2500 0.5000  4 Pt 3.19, 4 Li 3.43, 4 Sr 3.43
3 Li 0.5000 0.5000 0.0000  8 Sr 3.19-3.43, 4 Pt 3.43
4 Pt 0.2500 0.7500 0.5000  8 Sr 3.19-3.43, 4 Li 3.43

- Formation energy from the elements: -0.279 eV per atom
- Excess energy over the best structure of this formula in the dataset: 0.2679 eV/atom
- Total DFT energy (no corrections): -29.56 eV per atom
- N(E_F): 2.0 states/eV per cell



As2WBrF at its PBEsol-relaxed geometry. Source: Alexandria, functional meta-GGA SCAN.

Lattice parameters (Å, degrees): 4.2160 4.2160 5.0378 90.00 90.00 90.00
Last column: nearest neighbours and their distance in Å.
Positions (direct):
1 As 0.0000 0.5000 0.0000  2 F 2.11
2 As 0.5000 0.0000 0.0000  2 F 2.11
3 W 0.0000 0.0000 0.5000  4 Br 2.98, 8 As 3.28
4 Br 0.5000 0.5000 0.5000  2 F 2.52
5 F 0.5000 0.5000 0.0000  4 As 2.11

- Formation energy without anion corrections: 944 meV/atom
- Total DFT energy (no corrections): -25.67 eV per atom
- N(E_F): 1.3 states/eV per cell



Ba2Tl7Au at its PBEsol-relaxed geometry. Source: Alexandria, functional meta-GGA SCAN.

Lattice parameters (Å, degrees): 21.7878 5.1569 10.4399 90.00 90.00 90.00
Last column: nearest neighbours and their distance in Å.
Positions (direct):
1 Ba 0.0416 0.2500 0.2499  11 Tl 3.57-3.72, 2 Au 3.87
2 Ba 0.2109 0.2500 0.5010  11 Tl 3.55-3.82, 3 Au 3.69
3 Ba 0.2891 0.7500 0.0010  11 Tl 3.55-3.82, 3 Au 3.69
4 Ba 0.4584 0.7500 0.7499  11 Tl 3.57-3.72, 2 Au 3.87
5 Ba 0.5416 0.2500 0.2501  11 Tl 3.57-3.72, 2 Au 3.87
6 Ba 0.7109 0.2500 0.9990  11 Tl 3.55-3.82, 3 Au 3.69
7 Ba 0.7891 0.7500 0.4990  11 Tl 3.55-3.82, 3 Au 3.69
8 Ba 0.9584 0.7500 0.7501  11 Tl 3.57-3.72, 2 Au 3.87
9 Tl 0.0502 0.2500 0.9016  5 Tl 3.10-3.43
10 Tl 0.0524 0.2500 0.6047  4 Tl 3.08-3.18
11 Tl 0.0899 0.7500 0.4636  1 Au 2.80, 3 Tl 3.08-3.11
12 Tl 0.1034 0.7500 0.0275  1 Au 2.88, 3 Tl 3.12-3.19
13 Tl 0.1476 0.7500 0.7364  5 Tl 3.10-3.34
14 Tl 0.2002 0.2500 0.8586  1 Au 2.93, 3 Tl 3.10-3.11
15 Tl 0.2039 0.2500 0.1561  2 Au 2.87, 1 Tl 3.11
16 Tl 0.2961 0.7500 0.6561  2 Au 2.87, 1 Tl 3.11
17 Tl 0.2998 0.7500 0.3586  1 Au 2.93, 3 Tl 3.10-3.11
18 Tl 0.3524 0.2500 0.2364  5 Tl 3.10-3.34
19 Tl 0.3966 0.2500 0.5275  1 Au 2.88, 3 Tl 3.12-3.19
20 Tl 0.4101 0.2500 0.9636  1 Au 2.80, 3 Tl 3.08-3.11
21 Tl 0.4476 0.7500 0.1047  4 Tl 3.08-3.18
22 Tl 0.4498 0.7500 0.4016  5 Tl 3.10-3.43
23 Tl 0.5502 0.2500 0.5984  5 Tl 3.10-3.43
24 Tl 0.5524 0.2500 0.8953  4 Tl 3.08-3.18
25 Tl 0.5899 0.7500 0.0364  1 Au 2.80, 3 Tl 3.08-3.11
26 Tl 0.6034 0.7500 0.4725  1 Au 2.88, 3 Tl 3.12-3.19
27 Tl 0.6476 0.7500 0.7636  5 Tl 3.10-3.34
28 Tl 0.7002 0.2500 0.6414  1 Au 2.93, 3 Tl 3.10-3.11
29 Tl 0.7039 0.2500 0.3439  2 Au 2.87, 1 Tl 3.11
30 Tl 0.7961 0.7500 0.8439  2 Au 2.87, 1 Tl 3.11
31 Tl 0.7998 0.7500 0.1414  1 Au 2.93, 3 Tl 3.10-3.11
32 Tl 0.8524 0.2500 0.2636  5 Tl 3.10-3.34
33 Tl 0.8966 0.2500 0.9725  1 Au 2.88, 3 Tl 3.12-3.19
34 Tl 0.9101 0.2500 0.5364  1 Au 2.80, 3 Tl 3.08-3.11
35 Tl 0.9476 0.7500 0.3953  4 Tl 3.08-3.18
36 Tl 0.9498 0.7500 0.0984  5 Tl 3.10-3.43
37 Au 0.1740 0.7500 0.2604  5 Tl 2.80-2.93
38 Au 0.3260 0.2500 0.7604  5 Tl 2.80-2.93
39 Au 0.6740 0.7500 0.2396  5 Tl 2.80-2.93
40 Au 0.8260 0.2500 0.7396  5 Tl 2.80-2.93

- Formation energy from the elements: -0.404 eV per atom
- Total DFT energy (no corrections): -65.88 eV per atom
- N(E_F): 15.1 states/eV per cell



AlZn2Cl at its PBEsol-relaxed geometry. Source: Alexandria, functional meta-GGA SCAN.

Lattice parameters (Å, degrees): 2.8831 4.6184 5.1926 90.00 90.00 90.00
Last column: nearest neighbours and their distance in Å.
Positions (direct):
1 Al 0.0000 0.0000 0.0000  4 Cl 2.72, 2 Al 2.88, 4 Zn 2.97
2 Zn 0.0000 0.5000 0.5000  6 Zn 2.72-2.88, 4 Cl 2.97
3 Zn 0.5000 0.0000 0.5000  6 Zn 2.72-2.88, 4 Al 2.97
4 Cl 0.5000 0.5000 0.0000  4 Al 2.72, 2 Cl 2.88, 4 Zn 2.97

- Formation energy without anion corrections: 50 meV/atom
- Excess energy over the best structure of this formula in the dataset: 0.2017 eV/atom
- Total DFT energy (no corrections): -10.64 eV per atom
- N(E_F): 1.2 states/eV per cell



RbTa2CdGa at its PBEsol-relaxed geometry. Source: Alexandria, functional meta-GGA SCAN.

Lattice parameters (Å, degrees): 4.8642 4.8642 5.1759 90.00 90.00 90.00
Last column: nearest neighbours and their distance in Å.
Positions (direct):
1 Rb 0.0000 0.0000 0.0000  4 Ta 2.43, 2 Ga 2.59
2 Ta 0.0000 0.5000 0.0000  2 Rb 2.43
3 Ta 0.5000 0.0000 0.0000  2 Rb 2.43
4 Cd 0.5000 0.5000 0.5000  4 Ga 3.44, 8 Ta 3.55
5 Ga 0.0000 0.0000 0.5000  2 Rb 2.59

- Formation energy from the elements: 3.006 eV per atom
- Total DFT energy (no corrections): -37.13 eV per atom
- N(E_F): 5.6 states/eV per cell